First-principles (GGA+U) data for a relaxed NiGe2SF crystal, as listed in Alexandria.

a = 4.250 Å, b = 4.250 Å, c = 5.236 Å
α = 90.00°, β = 90.00°, γ = 90.00°
Sites, in units of the cell vectors:
Ni 0.000 0.000 0.000
Ge 0.000 0.500 0.500
Ge 0.500 0.000 0.500
S 0.500 0.500 0.000
F 0.500 0.500 0.500

Properties
As for the space-group type: P4/mmm (123). The calculation puts the density of states at the Fermi level at 0.208 states/eV/atom. As for the total magnetization: 0.20 μB per atom. As for the uncorrected energy: -16.27 eV/f.u.